CsFeIrO6: optimized geometry, GGA+U.

extended XYZ file:
```
9
Lattice="-2.910 -2.411 3.728 1.522 -4.708 1.923 3.505 3.064 4.714" Properties=species:S:1:pos:R:3 pbc="T T T"
Cs 0.595 0.653 8.441
Fe 0.827 -3.214 6.124
Ir 1.289 -0.841 4.240
O 1.719 -0.857 2.393
O 1.219 1.015 4.626
O 1.205 -1.231 6.095
O 3.183 -0.790 4.337
O 0.935 -2.703 4.174
O -0.524 -0.480 3.817
```

Values from the calculation:
Calculated volume   17.96 A^3/atom
Fermi-level density of states   4.0 states/eV/cell
SG   P312
Total energy   -53.32 eV/f.u.
Total moment   4.083 μB per cell